Compound: KTaAu2
Source: the Alexandria database
Functional: PBE-GGA
Structure: relaxed

a b c (Å): 4.8080 4.8080 4.8080
angles (deg): 60.00 60.00 60.00
Closest atoms and distances in Å follow each position.
Sites, in units of the cell vectors:
K: 0.0000 0.0000 0.0000  4 Ta 2.94, 4 Au 2.94
Ta: 0.2500 0.2500 0.2500  4 Au 2.94, 4 K 2.94
Au: 0.5000 0.5000 0.5000  4 Au 2.94, 4 Ta 2.94
Au: 0.7500 0.7500 0.7500  4 K 2.94, 4 Au 2.94

N(E_F) ... 0.03 states/eV/atom
Formation energy from the elements ... 0.832 eV per atom
Final energy ... -4.045 eV per atom


Compound: KTa2Au
Source: the Alexandria database
Functional: PBE-GGA
Structure: relaxed

a b c (Å): 2.8220 2.8220 11.4287
angles (deg): 90.00 90.00 109.26
Closest atoms and distances in Å follow each position.
Sites, in units of the cell vectors:
K: 0.0000 0.0000 0.0000  4 K 2.82
Ta: 0.5000 0.5000 0.2897  4 Ta 2.82, 2 Au 2.91
Ta: 0.5000 0.5000 0.7103  4 Ta 2.82, 2 Au 2.91
Au: 0.0000 0.0000 0.5000  4 Au 2.82, 4 Ta 2.91

N(E_F) ... 0.87 states/eV/atom
Formation energy from the elements ... 0.744 eV per atom
Final energy ... -6.276 eV per atom


Compound: KTa2Au
Source: the Alexandria database
Functional: PBE-GGA
Structure: relaxed

a b c (Å): 5.2486 5.2486 7.3279
angles (deg): 98.62 98.62 31.58
Closest atoms and distances in Å follow each position.
Sites, in units of the cell vectors:
K: 0.0000 0.0000 0.0000  2 K 2.86
Ta: 0.1990 0.1990 0.5816  5 Ta 2.71-2.86, 2 Au 2.84
Ta: 0.4684 0.4684 0.5225  5 Ta 2.71-2.86, 2 Au 2.86
Au: 0.7703 0.7703 0.2756  4 Ta 2.84-2.86, 2 Au 2.86

N(E_F) ... 0.78 states/eV/atom
Formation energy from the elements ... 0.660 eV per atom
Final energy ... -6.360 eV per atom


Compound: K2TaAu
Source: the Alexandria database
Functional: PBE-GGA
Structure: relaxed

a b c (Å): 2.8755 6.1341 5.5641
angles (deg): 90.00 93.16 90.00
Closest atoms and distances in Å follow each position.
Sites, in units of the cell vectors:
K: 0.2369 0.0000 0.2595  5 K 2.88-3.12
K: 0.7631 0.0000 0.7405  5 K 2.88-3.12
Ta: 0.5000 0.5000 0.0000  2 Ta 2.88, 4 Au 3.06-3.20
Au: 0.0000 0.5000 0.5000  2 Au 2.88, 4 Ta 3.06-3.20

N(E_F) ... 0.96 states/eV/atom
Formation energy from the elements ... 0.910 eV per atom
Final energy ... -3.422 eV per atom


Compound: K2TaAu
Source: the Alexandria database
Functional: PBE-GGA
Structure: relaxed

a b c (Å): 7.5210 7.5210 7.5210
angles (deg): 157.68 129.73 55.65
Closest atoms and distances in Å follow each position.
Sites, in units of the cell vectors:
K: 0.0000 0.0000 0.0000  2 K 2.91
K: 0.6985 0.1985 0.5000  2 K 2.91
Ta: 0.4071 0.4071 0.0000  2 Au 2.73, 2 Ta 2.91
Au: 0.2335 0.7335 0.5000  2 Ta 2.73, 2 Au 2.91

N(E_F) ... 0.82 states/eV/atom
Formation energy from the elements ... 0.783 eV per atom
Final energy ... -3.548 eV per atom


Compound: KTaAu2
Source: the Alexandria database
Functional: PBE-GGA
Structure: relaxed

a b c (Å): 3.1642 3.1642 8.7832
angles (deg): 90.00 90.00 90.00
Closest atoms and distances in Å follow each position.
Sites, in units of the cell vectors:
K: 0.0000 0.0000 0.0000  4 K 3.16, 8 Au 3.46
Ta: 0.0000 0.0000 0.5000  8 Au 2.84, 4 Ta 3.16
Au: 0.5000 0.5000 0.3012  4 Ta 2.84, 4 Au 3.16
Au: 0.5000 0.5000 0.6988  4 Ta 2.84, 4 Au 3.16

N(E_F) ... 0.31 states/eV/atom
Formation energy from the elements ... 0.076 eV per atom
Final energy ... -4.800 eV per atom


These records have polymorph energy (0 for the lowest one) values of 765 367 282 383 257 10 meV/atom, in the order they appear.